Density functional theory data (PBE) for a geometry-optimized CaAg2Ru structure.

Formation enthalpy at 0 K: 308 meV/atom
Size of the total moment: 0.8 μB/f.u.
Fermi-level density of states: 3.5 states/eV/f.u.
Offset from the most stable computed form: 75.7 meV/atom

abc: 9.8274 3.0210 5.2030
angles: 90.00 101.36 90.00
Closest atoms and distances in Å follow each position.
Space group Cm (No. 8)
Asymmetric unit:
Ca (0.0000, 0.0000, 0.0000) x2  7 Ag 2.96-3.08, 3 Ru 2.98-2.99, 2 Ca 3.02
Ag (0.2391, 0.0000, 0.7215) x2  4 Ru 2.90-3.13, 5 Ag 2.92-3.02, 3 Ca 2.99-3.08
Ag (0.4922, 0.0000, 0.4854) x2  3 Ru 2.86-3.04, 5 Ag 2.92-3.02, 4 Ca 2.96-3.06
Ru (0.2520, 0.5000, 0.2517) x2  7 Ag 2.86-3.13, 3 Ca 2.98-2.99, 2 Ru 3.02